Record 1
{
  "formula": "LiAl2V2",
  "functional": "PBE",
  "state": "optimized geometry",
  "rho_g_cm3": 3.35,
  "volume_a3_per_cell": 162,
  "polymorph_energy_mev_per_atom": 0,
  "cell": [[7.762, 0.000, 0.000], [0.000, 7.762, 0.000], [0.000, 0.000, 2.681]],
  "species": ["V", "V", "V", "V", "Al", "Al", "Al", "Al", "Li", "Li"],
  "fractional_positions": [[0.394, 0.894, 0.000], [0.894, 0.606, 0.000], [0.606, 0.106, 0.000], [0.106, 0.394, 0.000], [0.187, 0.687, 0.500], [0.687, 0.813, 0.500], [0.813, 0.313, 0.500], [0.313, 0.187, 0.500], [0.000, 0.000, 0.000], [0.500, 0.500, 0.000]]
}


Record 2
{
  "formula": "VCuMo",
  "functional": "PBE",
  "state": "optimized geometry",
  "rho_g_cm3": 8.39,
  "volume_a3_per_cell": 83,
  "polymorph_energy_mev_per_atom": 0,
  "cell": [[3.135, 0.000, 0.000], [0.000, 3.135, 0.000], [0.000, 0.000, 8.473]],
  "species": ["Cu", "Cu", "Mo", "Mo", "V", "V"],
  "fractional_positions": [[0.000, 0.500, 0.571], [0.500, 0.000, 0.429], [0.000, 0.500, 0.249], [0.500, 0.000, 0.751], [0.500, 0.000, 0.089], [0.000, 0.500, 0.911]]
}


Record 3
{
  "formula": "Zn2CdTc",
  "functional": "PBE",
  "state": "optimized geometry",
  "energy_ry_per_atom": -0.237,
  "rho_g_cm3": 8.89,
  "volume_a3_per_cell": 64,
  "cell": [[-1.118, -4.605, -2.033], [2.395, -4.097, 2.016], [-2.641, 4.054, 1.783]],
  "species": ["Cd", "Tc", "Zn", "Zn"],
  "fractional_positions": [[0.500, 0.500, 0.000], [0.750, 0.250, 0.500], [0.000, 0.000, 0.000], [0.250, 0.750, 0.500]]
}


Record 4
{
  "formula": "CeGeTe",
  "functional": "PBE",
  "state": "optimized geometry",
  "rho_g_cm3": 7.24,
  "volume_a3_per_cell": 156,
  "e_form_raw_ev_per_atom": -0.98,
  "cell": [[-1.506, 1.988, -3.397], [0.944, -3.349, -2.378], [-7.694, -2.681, 4.455]],
  "species": ["Ce", "Ce", "Ge", "Ge", "Te", "Te"],
  "fractional_positions": [[0.375, 0.375, 0.749], [0.625, 0.625, 0.251], [0.000, 0.500, 0.000], [0.500, 0.000, 0.000], [0.183, 0.183, 0.365], [0.817, 0.817, 0.635]]
}


Record 5
{
  "formula": "Fe5Rh4",
  "functional": "PBE",
  "state": "optimized geometry",
  "rho_g_cm3": 9.41,
  "volume_a3_per_cell": 244,
  "polymorph_energy_mev_per_atom": 57,
  "cell": [[7.430, 0.000, 0.000], [3.715, 6.435, 0.000], [0.000, 0.000, 5.098]],
  "species": ["Rh", "Rh", "Rh", "Rh", "Rh", "Rh", "Rh", "Rh", "Fe", "Fe", "Fe", "Fe", "Fe", "Fe", "Fe", "Fe", "Fe", "Fe"],
  "fractional_positions": [[0.000, 0.000, 0.000], [0.000, 0.000, 0.500], [0.653, 0.347, 0.250], [0.000, 0.653, 0.250], [0.347, 0.000, 0.250], [0.347, 0.653, 0.750], [0.000, 0.347, 0.750], [0.653, 0.000, 0.750], [0.322, 0.678, 0.250], [0.000, 0.322, 0.250], [0.678, 0.000, 0.250], [0.678, 0.322, 0.750], [0.000, 0.678, 0.750], [0.322, 0.000, 0.750], [0.333, 0.333, 0.000], [0.667, 0.667, 0.500], [0.667, 0.667, 0.000], [0.333, 0.333, 0.500]]
}


Record 6
{
  "formula": "La4NO2",
  "functional": "PBE",
  "state": "optimized geometry",
  "rho_g_cm3": 6.17,
  "volume_a3_per_cell": 162,
  "e_form_raw_ev_per_atom": -1.67,
  "polymorph_energy_mev_per_atom": 255,
  "cell": [[4.989, 0.000, 0.000], [0.000, 4.989, 0.000], [2.494, 2.494, 6.509]],
  "species": ["N", "O", "O", "La", "La", "La", "La"],
  "fractional_positions": [[0.000, 0.000, 0.000], [0.404, 0.404, 0.193], [0.596, 0.596, 0.807], [0.241, 0.241, 0.519], [0.759, 0.759, 0.481], [0.000, 0.500, 0.000], [0.500, 0.000, 0.000]]
}


Fermi-level density of states
In order: 0.92; 0.82; 0.79; 0.77; 1.11; 0.53
Unit: states/eV per atom